No. 1
20
Lattice="6.112 3.529 4.844 -6.112 3.529 4.844 0.000 -7.058 4.844" Properties=species:S:1:pos:R:3 comment="Pm3YSe6, optimized geometry, DFT GGA-PBE" polymorph_energy_ev_per_atom=0.000 raw_formation_energy_ev_per_atom=-1.867 pbc="T T T"
Pm -4.138 -1.203 6.760
Pm -1.027 -4.185 7.772
Pm -3.111 2.982 7.772
Pm 3.111 -2.982 6.760
Pm 1.027 4.185 6.760
Pm 4.138 1.203 7.772
Y 0.000 0.000 0.000
Y 0.000 0.000 7.266
Se -3.944 -3.873 7.910
Se -5.326 1.479 6.621
Se -1.406 -2.011 5.781
Se 1.382 -5.352 6.621
Se -2.444 0.212 8.750
Se -1.039 2.223 5.781
Se 1.039 -2.223 8.750
Se 2.444 -0.212 5.781
Se -1.382 5.352 7.910
Se 1.406 2.011 8.750
Se 5.326 -1.479 7.910
Se 3.944 3.873 6.621



No. 2
4
Lattice="1.597 0.922 10.606 -1.597 0.922 10.606 0.000 -1.844 10.606" Properties=species:S:1:pos:R:3 comment="PaSnF2, optimized geometry, DFT GGA-PBE" raw_formation_energy_ev_per_atom=-1.951 pbc="T T T"
Pa 0.000 0.000 0.000
Sn 0.000 0.000 15.910
F 0.000 0.000 12.232
F 0.000 0.000 19.587



No. 3
3
Lattice="4.223 0.000 0.000 -2.112 3.658 0.000 0.000 0.000 4.347" Properties=species:S:1:pos:R:3 comment="SrNiPd, optimized geometry, DFT GGA-PBE" formation_energy_ev_per_fu=-0.8 pbc="T T T"
Sr 0.000 0.000 0.000
Ni 0.000 2.438 2.174
Pd 2.112 1.219 2.174



No. 4
4
Lattice="2.956 0.000 0.000 0.000 4.487 0.000 -1.248 0.000 6.336" Properties=species:S:1:pos:R:3 comment="CaTa2Re, optimized geometry, DFT GGA-PBE" polymorph_energy_ev_per_atom=0.072 formation_energy_ev_per_fu=1.7 pbc="T T T"
Ca 0.000 0.000 0.000
Ta -0.240 2.244 4.256
Ta 1.008 0.000 3.014
Re 1.929 2.244 1.907



No. 5
5
Lattice="4.923 0.000 0.000 0.000 4.923 0.000 0.000 0.000 5.311" Properties=species:S:1:pos:R:3 comment="BaMg2NiAg, optimized geometry, DFT GGA-PBE" formation_energy_ev_per_fu=-0.2 pbc="T T T"
Ba 0.000 0.000 0.000
Mg 0.000 2.462 2.655
Mg 2.462 0.000 2.655
Ni 2.462 2.462 2.655
Ag 2.462 2.462 0.000



No. 6
6
Lattice="0.000 3.633 3.633 3.633 0.000 3.633 3.633 3.633 0.000" Properties=species:S:1:pos:R:3 comment="Re2Mo, optimized geometry, DFT GGA-PBE" polymorph_energy_ev_per_atom=0.072 formation_energy_ev_per_fu=0.6 pbc="T T T"
Re 0.000 0.000 0.000
Re 1.817 1.817 0.000
Re 1.817 0.000 1.817
Re 0.000 1.817 1.817
Mo 2.725 2.725 2.725
Mo 4.542 4.542 4.542



No. 7
4
Lattice="4.981 0.000 0.000 0.000 4.981 0.000 0.000 0.000 3.830" Properties=species:S:1:pos:R:3 comment="LiPbSe2, optimized geometry, DFT GGA-PBE" raw_formation_energy_ev_per_atom=-0.439 pbc="T T T"
Li 0.000 0.000 0.000
Pb 2.491 2.491 0.000
Se 0.000 2.491 1.915
Se 2.491 0.000 1.915



No. 8
12
Lattice="-4.360 4.360 5.820 4.360 -4.360 5.820 4.360 4.360 -5.820" Properties=species:S:1:pos:R:3 comment="Nd8Er3Tl, optimized geometry, DFT GGA-PBE" formation_energy_ev_per_fu=5.5 pbc="T T T"
Nd 3.241 3.241 -2.859
Nd 2.126 -2.126 5.561
Nd 2.234 2.234 0.259
Nd 1.119 1.119 2.961
Nd 1.119 -1.119 8.679
Nd -2.126 2.126 5.561
Nd 2.126 2.126 6.079
Nd -1.119 1.119 8.679
Er 4.360 0.000 2.910
Er 0.000 0.000 5.820
Er 0.000 4.360 2.910
Tl 0.000 0.000 0.000